The following is a GGA-PBE calculation of ErSc5Ga6 after structural relaxation, from Alexandria.

Properties
As for the volume: 19.44 A^3/atom. As for the total DFT energy (no corrections): -5.117 eV per atom. The magnetization comes out at 0.000 Bohr magnetons per cell. The value obtained for the formation energy is -0.5850 eV per atom.

Cell and atoms, written as CIF:
```
data_ErSc5Ga6
_chemical_formula_sum 'Er2 Sc10 Ga12'
_space_group_name_H-M_alt 'C 1 2/m 1'
_space_group_IT_number 12
_cell_length_a 15.177
_cell_length_b 6.731
_cell_length_c 4.805
_cell_angle_alpha 90.00
_cell_angle_beta 108.06
_cell_angle_gamma 90.00
loop_
_space_group_symop_operation_xyz
'x,y,z'
'-x,-y,-z'
'-x,y,-z'
'x,-y,z'
'x+1/2,y+1/2,z'
'-x+1/2,-y+1/2,-z'
'-x+1/2,y+1/2,-z'
'x+1/2,-y+1/2,z'
loop_
_atom_site_label
_atom_site_fract_x
_atom_site_fract_y
_atom_site_fract_z
Er1 0.000 0.000 0.000
Sc1 0.000 0.500 0.000
Sc2 0.164 0.000 0.664
Sc3 0.168 0.500 0.669
Ga1 0.000 0.263 0.500
Ga2 0.170 0.257 0.170
```